A PBEsol-optimized structure of ZrTc2Cl, computed with meta-GGA SCAN.

Cell: 5.436 5.436 5.436 Å, 148.83 132.75 57.69°
Atoms (fractional coordinates):
1 Zr 0.000 0.000 0.000
2 Tc 0.276 0.776 0.500
3 Tc 0.724 0.224 0.500
4 Cl 0.500 0.500 0.000

Results
SG ... Immm, No. 71

A PBEsol-optimized structure of Zr2TcCl, computed with meta-GGA SCAN.

Cell: 3.209 3.209 8.151 Å, 102.67 102.67 82.96°
Atoms (fractional coordinates):
1 Zr 0.093 0.093 0.206
2 Zr 0.907 0.907 0.794
3 Tc 0.500 0.500 0.000
4 Cl 0.500 0.500 0.500

Results
SG ... C2/m, No. 12
Excess energy over the best structure of this formula in the dataset ... 0.000 eV per atom

A PBEsol-optimized structure of Zr2TcCl, computed with meta-GGA SCAN.

Cell: 7.589 7.589 7.589 Å, 155.45 154.95 35.35°
Atoms (fractional coordinates):
1 Zr 0.000 0.000 0.000
2 Zr 0.768 0.268 0.500
3 Tc 0.405 0.405 0.000
4 Cl 0.157 0.657 0.500

Results
SG ... Imm2, No. 44
Excess energy over the best structure of this formula in the dataset ... 0.288 eV per atom

A PBEsol-optimized structure of Zr2TcCl2, computed with meta-GGA SCAN.

Cell: 7.244 7.244 7.244 Å, 150.22 150.22 42.62°
Atoms (fractional coordinates):
1 Zr 0.112 0.112 0.000
2 Zr 0.888 0.888 0.000
3 Tc 0.500 0.500 0.000
4 Cl 0.250 0.750 0.500
5 Cl 0.750 0.250 0.500

Results
SG ... I4/mmm, No. 139

A PBEsol-optimized structure of Zr2TcCl, computed with meta-GGA SCAN.

Cell: 5.723 5.723 5.723 Å, 142.23 142.23 54.49°
Atoms (fractional coordinates):
1 Zr 0.000 0.000 0.000
2 Zr 0.750 0.250 0.500
3 Tc 0.250 0.750 0.500
4 Cl 0.500 0.500 0.000

Results
SG ... I-4m2, No. 119
Excess energy over the best structure of this formula in the dataset ... 0.732 eV per atom

A PBEsol-optimized structure of TeCl4, computed with meta-GGA SCAN.

Cell: 10.182 10.182 15.550 Å, 112.35 112.35 62.88°
Atoms (fractional coordinates):
1 Te 0.234 0.764 0.612
2 Te 0.236 0.766 0.888
3 Te 0.343 0.383 0.183
4 Te 0.383 0.343 0.683
5 Te 0.617 0.657 0.317
6 Te 0.657 0.617 0.817
7 Te 0.764 0.234 0.112
8 Te 0.766 0.236 0.388
9 Cl 0.013 0.985 0.624
10 Cl 0.015 0.987 0.876
11 Cl 0.124 0.625 0.688
12 Cl 0.131 0.642 0.456
13 Cl 0.132 0.614 0.191
14 Cl 0.134 0.647 0.936
15 Cl 0.246 0.275 0.021
16 Cl 0.255 0.270 0.246
17 Cl 0.270 0.255 0.746
18 Cl 0.275 0.246 0.521
19 Cl 0.353 0.866 0.564
20 Cl 0.358 0.869 0.044
21 Cl 0.375 0.876 0.812
22 Cl 0.386 0.868 0.309
23 Cl 0.493 0.505 0.125
24 Cl 0.495 0.507 0.375
25 Cl 0.505 0.493 0.625
26 Cl 0.507 0.495 0.875
27 Cl 0.614 0.132 0.691
28 Cl 0.625 0.124 0.188
29 Cl 0.642 0.131 0.956
30 Cl 0.647 0.134 0.436
31 Cl 0.725 0.754 0.479
32 Cl 0.730 0.745 0.254
33 Cl 0.745 0.730 0.754
34 Cl 0.754 0.725 0.979
35 Cl 0.866 0.353 0.064
36 Cl 0.868 0.386 0.809
37 Cl 0.869 0.358 0.544
38 Cl 0.876 0.375 0.312
39 Cl 0.985 0.013 0.124
40 Cl 0.987 0.015 0.376

Results
SG ... C2/c, No. 15
Excess energy over the best structure of this formula in the dataset ... 0.000 eV per atom

What raw total energy values result from the calculations? In sequence: -108.43, -107.52, -106.37, -114.51, -104.59, -579.72 eV/cell.